Run i
Material: KGa3Rh
Method: DFT, PBE-GGA
State: optimized geometry

Properties
Size of the total moment   0.00 Bohr magnetons per cell
ρ   5.00 g/cm3
Space-group type   Pm-3m

a b c (Å): 4.8863 4.8863 4.8863
angles (deg): 90.00 90.00 90.00
Last column: nearest neighbours and their distance in Å.
Sites, in units of the cell vectors:
K 0.5000 0.5000 0.5000  12 Ga 3.46
Rh 0.0000 0.0000 0.0000  6 Ga 2.44
Ga 0.0000 0.0000 0.5000  2 Rh 2.44
Ga 0.5000 0.0000 0.0000  2 Rh 2.44
Ga 0.0000 0.5000 0.0000  2 Rh 2.44

Run ii
Material: KGa3Rh
Method: DFT, PBE-GGA
State: optimized geometry

Properties
Size of the total moment   0.00 Bohr magnetons per cell
ρ   3.78 g/cm3
Space-group type   Pm-3m

a b c (Å): 5.3643 5.3643 5.3643
angles (deg): 90.00 90.00 90.00
Last column: nearest neighbours and their distance in Å.
Sites, in units of the cell vectors:
Ga 0.5000 0.0000 0.0000  2 K 2.68
Ga 0.0000 0.0000 0.5000  2 K 2.68
Ga 0.0000 0.5000 0.0000  2 K 2.68
Rh 0.5000 0.5000 0.5000  12 Ga 3.79
K 0.0000 0.0000 0.0000  6 Ga 2.68

Of them, the most stable is run i and the least stable is run ii.